An optimized crystal structure of NdPaGa, computed with PBE-GGA.

Values from the calculation:
Space-group type   I4mm (107)
V   76.2 Å³/f.u.
Relative energy among the computed polymorphs   0.203 eV per atom

a b c (Å): 3.2845 3.2845 7.4355
angles (deg): 102.76 102.76 90.00
Sites, in units of the cell vectors:
Pa  0.3153  0.3153  0.6307
Nd  0.0137  0.0137  0.0274
Ga  0.6710  0.6710  0.3419

=====

An optimized crystal structure of NdPaGa, computed with PBE-GGA.

Values from the calculation:
Space-group type   P4/nmm (129)
V   79.2 Å³/f.u.
Relative energy among the computed polymorphs   0.000 eV per atom

a b c (Å): 4.3326 4.3326 8.4406
angles (deg): 90.00 90.00 90.00
Last column: magnetic moment on the atom in μB.
Sites, in units of the cell vectors:
Pa  0.0000  0.0000  0.0000  0.24
Pa  0.5000  0.5000  0.0000  0.24
Nd  0.0000  0.5000  0.3614  0.18
Nd  0.5000  0.0000  0.6386  0.18
Ga  0.0000  0.5000  0.7418  -0.01
Ga  0.5000  0.0000  0.2582  -0.01

=====

An optimized crystal structure of Nd2PaGa3Pt4, computed with PBE-GGA.

Values from the calculation:
Total energy   -6.12 eV per atom
Space-group type   P-4m2 (115)
V   211.1 Å³/f.u.

a b c (Å): 4.3820 4.3820 10.9939
angles (deg): 90.00 90.00 90.00
Sites, in units of the cell vectors:
Nd  0.5000  0.0000  0.2239
Nd  0.0000  0.5000  0.7761
Pa  0.5000  0.5000  0.5000
Ga  0.0000  0.0000  0.5000
Ga  0.5000  0.0000  0.8791
Ga  0.0000  0.5000  0.1209
Pt  0.5000  0.5000  0.0000
Pt  0.0000  0.0000  0.0000
Pt  0.5000  0.0000  0.6518
Pt  0.0000  0.5000  0.3482